[1]
The following is a PBE calculation of a relaxed HfCdPb crystal, from OQMD via LeMat-Bulk.

```
3
Lattice="-0.734 2.582 5.758 -4.979 1.078 3.796 3.163 -4.039 -3.747" Properties=species:S:1:pos:R:3 pbc="T T T"
Cd -1.949 1.249 3.260
Hf -5.661 3.626 9.467
Pb -3.815 2.444 6.380
```

## Properties
Total magnetic moment: 0.00 μB per atom
Uncorrected energy: -14.02 eV for the cell shown
Theoretical density: 11.70 Mg/m³


[2]
The following is a PBE calculation of a relaxed RbAgPb crystal, from OQMD via LeMat-Bulk.

```
3
Lattice="0.000 3.958 3.958 3.958 0.000 3.958 3.958 3.958 0.000" Properties=species:S:1:pos:R:3 pbc="T T T"
Rb 0.000 0.000 0.000
Ag 1.979 1.979 1.979
Pb 5.937 5.937 5.937
```

## Properties
Uncorrected energy: -5.39 eV for the cell shown
Theoretical density: 5.36 Mg/m³


[3]
The following is a PBE calculation of a relaxed NbGaMo2 crystal, from OQMD via LeMat-Bulk.

```
4
Lattice="0.000 3.184 3.184 3.184 0.000 3.184 3.184 3.184 0.000" Properties=species:S:1:pos:R:3 pbc="T T T"
Nb 1.592 1.592 1.592
Mo 0.000 0.000 0.000
Mo 4.777 4.777 4.777
Ga 3.184 3.184 3.184
```

## Properties
Total magnetic moment: 0.01 μB per atom
Uncorrected energy: -34.65 eV for the cell shown
Theoretical density: 9.12 Mg/m³


[4]
The following is a PBE calculation of a relaxed Fe2H2Se crystal, from OQMD via LeMat-Bulk.

```
5
Lattice="3.031 0.000 0.000 0.000 1.772 3.954 0.000 -1.772 3.954" Properties=species:S:1:pos:R:3 pbc="T T T"
H 1.516 0.890 3.141
H 1.516 -0.890 3.141
Se 0.000 0.000 5.251
Fe 1.516 0.000 0.601
Fe 0.000 0.000 2.890
```

## Properties
Total magnetic moment: 0.27 μB per atom
Uncorrected energy: -25.92 eV for the cell shown
Theoretical density: 7.53 Mg/m³


[5]
The following is a PBE calculation of a relaxed GdErMo2C3 crystal, from OQMD via LeMat-Bulk.

```
7
Lattice="-4.562 3.475 -1.445 -5.599 1.531 1.136 3.298 2.986 3.575" Properties=species:S:1:pos:R:3 pbc="T T T"
Gd -5.164 4.031 0.963
C -4.911 5.923 2.490
C -6.866 7.971 3.248
C -1.972 2.093 0.785
Er -1.678 3.963 2.312
Mo 1.360 3.363 3.081
Mo -8.220 4.626 0.184
```

## Properties
Total magnetic moment: 0.00 μB per atom
Uncorrected energy: -60.80 eV for the cell shown
Theoretical density: 8.77 Mg/m³


[6]
The following is a PBE calculation of a relaxed ZnFeSn2As4 crystal, from OQMD via LeMat-Bulk.

```
8
Lattice="5.412 -2.102 4.321 -1.259 -6.705 2.417 -0.059 2.839 -6.657" Properties=species:S:1:pos:R:3 pbc="T T T"
Fe 0.000 0.000 0.000
As 1.331 -1.841 -0.704
As 3.769 -6.262 2.419
As 3.279 0.800 -3.497
As -0.191 -4.633 1.945
Sn 3.715 -1.833 0.517
Sn 2.076 -4.403 3.369
Zn 0.379 -4.134 -0.435
```

## Properties
Total magnetic moment: 0.42 μB per atom
Uncorrected energy: -36.50 eV for the cell shown
Theoretical density: 5.33 Mg/m³


[7]
The following is a PBE calculation of a relaxed NaNbOs crystal, from OQMD via LeMat-Bulk.

```
3
Lattice="0.731 -0.462 4.302 -1.617 2.939 2.828 -3.293 -1.113 2.677" Properties=species:S:1:pos:R:3 pbc="T T T"
Nb -3.135 1.023 7.356
Os 0.000 0.000 0.000
Na -1.045 0.341 2.452
```

## Properties
Total magnetic moment: 0.00 μB per atom
Uncorrected energy: -19.89 eV for the cell shown
Theoretical density: 8.51 Mg/m³


[8]
The following is a PBE calculation of a relaxed MgScCu4B2 crystal, from OQMD via LeMat-Bulk.

```
8
Lattice="4.083 0.000 0.000 0.000 4.083 0.000 0.000 0.000 5.720" Properties=species:S:1:pos:R:3 pbc="T T T"
Sc 2.042 2.042 0.000
Cu 0.000 2.042 4.231
Cu 2.042 0.000 1.488
Cu 0.000 2.042 1.488
Cu 2.042 0.000 4.231
Mg 0.000 0.000 2.860
B 0.000 0.000 0.000
B 2.042 2.042 2.860
```

## Properties
Total magnetic moment: 0.00 μB per atom
Uncorrected energy: -33.55 eV for the cell shown
Theoretical density: 6.01 Mg/m³